Below is crystalline PrTmSbCl2 at its relaxed geometry, with properties calculated at the PBE-GGA level.

The density comes out at 5.1 Mg/m³. The raw total energy is -5.035 eV per atom. As for the volume: 164 Å³/cell.

The space group is P3m1 (No. 156) and the conventional cell measures 4.2171, 4.2171 and 10.6777 Å, with angles of 90.00, 90.00 and 120.00 degrees. The asymmetric unit holds Pr at (0.0000, 0.0000, 0.0000), Tm at (0.6667, 0.3333, 0.6605), Sb at (0.3333, 0.6667, 0.8180), Cl at (0.0000, 0.0000, 0.5230) and Cl at (0.6667, 0.3333, 0.1547).